The following is a DFT calculation (SCAN) of a PBEsol-optimized structure of Li4InCu.

a = 7.078 Å, b = 7.078 Å, c = 7.078 Å
α = 90.00°, β = 90.00°, γ = 90.00°
Space group F-43m (No. 216)
Symmetry-distinct sites (fractional):
1 Li 0.125 0.125 0.125 (multiplicity 16)
2 In 0.250 0.250 0.750 (multiplicity 4)
3 Cu 0.000 0.000 0.500 (multiplicity 4)

Properties
energy relative to the elements = -10 meV/atom
mass density = 3.86 g cm⁻³
final energy = -9.7009 eV/atom



The following is a DFT calculation (SCAN) of a PBEsol-optimized structure of LiIn2Cu2.

a = 7.531 Å, b = 7.531 Å, c = 2.976 Å
α = 90.00°, β = 90.00°, γ = 90.00°
Space group P4/mbm (No. 127)
Symmetry-distinct sites (fractional):
1 Li 0.000 0.000 0.000 (multiplicity 2)
2 In 0.178 0.322 0.500 (multiplicity 4)
3 Cu 0.118 0.618 0.000 (multiplicity 4)

Properties
energy relative to the elements = -73 meV/atom
mass density = 7.16 g cm⁻³
final energy = -19.9856 eV/atom



The following is a DFT calculation (SCAN) of a PBEsol-optimized structure of LiIn2Cu.

a = 4.094 Å, b = 4.094 Å, c = 8.466 Å
α = 90.00°, β = 90.00°, γ = 90.00°
Space group I-4m2 (No. 119)
Symmetry-distinct sites (fractional):
1 Li 0.000 0.000 0.000 (multiplicity 2)
2 In 0.000 0.000 0.500 (multiplicity 2)
3 In 0.000 0.500 0.750 (multiplicity 2)
4 Cu 0.000 0.500 0.250 (multiplicity 2)

Properties
energy relative to the elements = -78 meV/atom
mass density = 7.02 g cm⁻³
final energy = -21.1685 eV/atom



The following is a DFT calculation (SCAN) of a PBEsol-optimized structure of LiIn2Cu.

a = 4.442 Å, b = 4.442 Å, c = 3.500 Å
α = 90.00°, β = 90.00°, γ = 90.00°
Space group P4/mmm (No. 123)
Symmetry-distinct sites (fractional):
1 Li 0.000 0.000 0.000 (multiplicity 1)
2 In 0.000 0.500 0.500 (multiplicity 2)
3 Cu 0.500 0.500 0.000 (multiplicity 1)

Properties
energy relative to the elements = -111 meV/atom
mass density = 7.21 g cm⁻³
final energy = -21.2015 eV/atom